DFT (GGA-PBE) results for a relaxed structure of Y3InN.

Properties
Calculated volume, Å³ per cell: 505.6
Calculated total energy, eV for the cell shown: -136.681
M_tot, μB/cell: 0.00

Unit cell a=14.4419 b=8.8627 c=8.8627 alpha=108.40 beta=135.73 gamma=44.27
Atoms (fractional coordinates):
Y  0.4213  0.2487  0.4180
Y  0.0787  0.9180  0.7487
Y  0.5787  0.7513  0.5820
Y  0.9213  0.0820  0.2513
Y  0.0943  0.2327  0.1455
Y  0.4057  0.6455  0.7327
Y  0.9057  0.7673  0.8545
Y  0.5943  0.3545  0.2673
Y  0.5675  0.0752  0.9142
Y  0.9325  0.4142  0.5752
Y  0.4325  0.9248  0.0858
Y  0.0675  0.5858  0.4248
N  0.3338  0.1824  0.4993
N  0.1662  0.9993  0.6824
N  0.6662  0.8176  0.5007
N  0.8338  0.0007  0.3176
In  0.7500  0.2592  0.7592
In  0.2500  0.7408  0.2408
In  0.7500  0.5808  0.0808
In  0.2500  0.4192  0.9192